Compound: K2RbGe2
Source: Alexandria
Functional: PBE
Structure: relaxed

Results
Energy relative to the elements: -12 kJ/mol of formula units
Total DFT energy (no corrections): -2.505 eV per atom
Excess energy over the best structure of this formula in the dataset: 2.1 kJ/mol of atoms

Cell lengths 5.5860, 5.5860, 7.6644 Å; angles 68.63, 68.63, 90.00 degrees
Sites, in units of the cell vectors:
Ge 0.4119 0.4119 0.1762
Ge 0.5881 0.5881 0.8238
K 0.7500 0.2500 0.5000
K 0.2500 0.7500 0.5000
Rb 0.0000 0.0000 0.0000

=====

Compound: KIn2Te
Source: Alexandria
Functional: PBE
Structure: relaxed

Results
Total DFT energy (no corrections): -2.729 eV per atom

Cell lengths 9.2422, 9.2422, 7.3513 Å; angles 51.05, 51.05, 90.00 degrees
Sites, in units of the cell vectors:
K 0.5000 0.5000 0.0000
K 0.2500 0.7500 0.5000
Te 0.0000 0.0000 0.0000
Te 0.7500 0.2500 0.5000
In 0.6624 0.1250 0.2500
In 0.0876 0.6250 0.2500
In 0.3750 0.3376 0.7500
In 0.8750 0.9124 0.7500

=====

Compound: Ce2MgZn3
Source: Alexandria
Functional: PBE
Structure: relaxed

Results
Energy relative to the elements: -123 kJ/mol of formula units
Total DFT energy (no corrections): -3.093 eV per atom
Excess energy over the best structure of this formula in the dataset: 0.5 kJ/mol of atoms

Cell lengths 4.9558, 4.9558, 12.3968 Å; angles 90.00, 90.00, 120.00 degrees
Each line ends with the local moment (μB).
Sites, in units of the cell vectors:
Ce 0.0000 0.0000 0.5000  0.58
Ce 0.3333 0.6667 0.1765  0.52
Ce 0.6667 0.3333 0.8235  0.52
Ce 0.0000 0.0000 0.0000  0.64
Mg 0.3333 0.6667 0.6623  0.00
Mg 0.6667 0.3333 0.3377  0.00
Zn 0.3333 0.6667 0.4172  0.01
Zn 0.6667 0.3333 0.0903  0.01
Zn 0.0000 0.0000 0.7432  0.01
Zn 0.0000 0.0000 0.2568  0.01
Zn 0.3333 0.6667 0.9097  0.01
Zn 0.6667 0.3333 0.5828  0.01

=====

Compound: KZrNpO6
Source: Alexandria
Functional: PBE
Structure: relaxed

Results
Total DFT energy (no corrections): -8.520 eV per atom

Cell lengths 5.6813, 5.6813, 11.5745 Å; angles 90.00, 90.00, 120.00 degrees
Sites, in units of the cell vectors:
K 0.0000 0.0000 0.0000
K 0.0000 0.0000 0.5000
Zr 0.3333 0.6667 0.2500
Zr 0.6667 0.3333 0.7500
Np 0.6667 0.3333 0.2500
Np 0.3333 0.6667 0.7500
O 0.6205 0.6079 0.1552
O 0.9874 0.3795 0.1552
O 0.3795 0.9874 0.6552
O 0.0126 0.6205 0.8448
O 0.3921 0.3795 0.3448
O 0.9874 0.6079 0.3448
O 0.6079 0.9874 0.8448
O 0.6205 0.0126 0.3448
O 0.0126 0.3921 0.6552
O 0.3921 0.0126 0.1552
O 0.6079 0.6205 0.6552
O 0.3795 0.3921 0.8448

=====

Compound: Ca3NbAg
Source: Alexandria
Functional: PBE
Structure: relaxed

Results
Energy relative to the elements: 445 kJ/mol of formula units
Total DFT energy (no corrections): -2.862 eV per atom
Excess energy over the best structure of this formula in the dataset: 22.6 kJ/mol of atoms

Cell lengths 5.5124, 5.5124, 5.5124 Å; angles 90.00, 90.00, 90.00 degrees
Sites, in units of the cell vectors:
Nb 0.0000 0.0000 0.0000
Ca 0.0000 0.5000 0.0000
Ca 0.0000 0.0000 0.5000
Ca 0.5000 0.0000 0.0000
Ag 0.5000 0.5000 0.5000

=====

Compound: LaThZnGe
Source: Alexandria
Functional: PBE
Structure: relaxed

Results
Energy relative to the elements: -159 kJ/mol of formula units
Total DFT energy (no corrections): -4.971 eV per atom

Cell lengths 5.2438, 5.2438, 5.2438 Å; angles 60.00, 60.00, 60.00 degrees
Sites, in units of the cell vectors:
Ge 0.2500 0.2500 0.2500
Zn 0.7500 0.7500 0.7500
Th 0.0000 0.0000 0.0000
La 0.5000 0.5000 0.5000